No. 1
BaSrSn4 PBE-GGA optimized geometry; spin magnetization = 0.00 μB/atom; Fermi-level density of states = 11.944 states/eV/cell; energy of formation = -0.432 eV per atom; ΔE to the lowest computed polymorph = 0.106 eV/atom
1.0
-0.296 1.153 4.819
7.682 -3.838 1.390
9.390 17.489 -3.608
Ba Sr Sn
4 4 16
direct
0.000 0.614 0.329
0.000 0.386 0.671
0.000 0.114 0.171
0.000 0.886 0.829
0.000 0.619 0.086
0.000 0.381 0.914
0.000 0.119 0.414
0.000 0.881 0.586
0.500 0.768 0.194
0.500 0.232 0.806
0.500 0.268 0.306
0.500 0.732 0.694
0.500 0.910 0.063
0.500 0.090 0.937
0.500 0.410 0.437
0.500 0.590 0.563
0.500 0.846 0.464
0.500 0.154 0.536
0.500 0.346 0.036
0.500 0.654 0.964
0.500 0.934 0.318
0.500 0.066 0.682
0.500 0.434 0.182
0.500 0.566 0.818

=====

No. 2
BeAlIN2 PBE-GGA optimized geometry; energy relative to the elements, uncorrected = 424 kJ/mol of formula units; spin magnetization = 0.00 μB/atom; Fermi-level density of states = 2.023 states/eV/cell; ΔE to the lowest computed polymorph = 0.000 eV/atom
1.0
-1.640 3.261 -0.124
-3.239 -1.610 0.502
0.715 0.609 6.561
I Be Al N
1 1 1 2
direct
0.000 0.000 0.500
0.500 0.500 0.500
0.000 0.000 0.000
0.000 0.500 0.000
0.500 0.000 0.000

=====

No. 3
Ce4Si2Br3 PBE-GGA optimized geometry; energy relative to the elements, uncorrected = -720 kJ/mol of formula units; spin magnetization = 0.46 μB/atom; Fermi-level density of states = 23.226 states/eV/cell; ΔE to the lowest computed polymorph = 0.297 eV/atom
1.0
4.337 0.000 0.000
-2.168 5.453 0.088
0.000 -0.436 10.386
Ce Si Br
4 2 3
direct
0.641 0.283 0.117
0.086 0.172 0.658
0.914 0.828 0.342
0.359 0.717 0.883
0.321 0.642 0.181
0.679 0.358 0.819
0.367 0.735 0.580
0.000 0.000 0.000
0.633 0.265 0.420

=====

No. 4
LiCa2Ru PBE-GGA optimized geometry; spin magnetization = 0.07 μB/atom; Fermi-level density of states = 3.909 states/eV/cell; energy of formation = 0.304 eV per atom
1.0
10.052 -0.057 -0.033
9.463 3.390 -0.033
9.463 1.616 2.980
Ca Li Ru
2 1 1
direct
0.016 0.016 0.016
0.484 0.484 0.484
0.250 0.250 0.250
0.750 0.750 0.750

=====

No. 5
GeIF PBE-GGA optimized geometry; energy relative to the elements, uncorrected = -326 kJ/mol of formula units; spin magnetization = 0.00 μB/atom; Fermi-level density of states = 0.000 states/eV/cell; ΔE to the lowest computed polymorph = 0.023 eV/atom
1.0
4.450 0.000 -0.343
0.000 6.204 0.000
0.362 0.000 7.212
Ge I F
2 2 2
direct
0.612 0.250 0.320
0.388 0.750 0.680
0.317 0.250 0.665
0.683 0.750 0.335
0.269 0.250 0.179
0.731 0.750 0.821

=====

No. 6
Ho4Pb3 PBE-GGA optimized geometry; spin magnetization = 0.00 μB/atom; Fermi-level density of states = 1.276 states/eV/cell; energy of formation = -0.522 eV per atom
1.0
7.643 0.000 -2.702
-3.822 6.619 -2.702
0.000 0.000 8.107
Ho Pb
8 6
direct
0.359 0.500 0.000
0.500 0.359 0.500
0.000 0.000 0.359
0.641 0.141 0.141
0.000 0.000 0.859
0.141 0.641 0.641
0.859 0.500 0.000
0.500 0.859 0.500
0.125 0.375 0.250
0.625 0.750 0.875
0.875 0.250 0.625
0.250 0.875 0.125
0.750 0.625 0.375
0.375 0.125 0.750

=====

No. 7
HoTh2Cd8 PBE-GGA optimized geometry; spin magnetization = 0.00 μB/atom; Fermi-level density of states = 6.900 states/eV/cell; energy of formation = -0.117 eV per atom
1.0
5.159 0.005 -1.399
-0.746 5.922 -2.773
-0.338 0.504 8.986
Ho Th Cd
1 2 8
direct
0.500 0.000 0.000
0.693 0.693 0.386
0.307 0.307 0.614
0.121 0.343 0.241
0.881 0.103 0.760
0.746 0.500 0.000
0.696 0.196 0.392
0.304 0.804 0.608
0.254 0.500 0.000
0.119 0.897 0.240
0.879 0.657 0.759

=====

No. 8
Ac2PuAgS5 PBE-GGA optimized geometry; energy relative to the elements, uncorrected = -1444 kJ/mol of formula units; spin magnetization = 0.56 μB/atom; Fermi-level density of states = 25.245 states/eV/cell
1.0
-2.880 0.375 2.978
5.560 -6.052 3.234
6.682 8.989 5.333
Ac Pu Ag S
4 2 2 10
direct
0.874 0.748 0.807
0.113 0.226 0.686
0.126 0.252 0.307
0.887 0.774 0.186
0.805 0.611 0.506
0.195 0.389 0.006
0.531 0.062 0.968
0.469 0.938 0.468
0.357 0.713 0.001
0.694 0.388 0.852
0.499 0.998 0.774
0.292 0.583 0.657
0.953 0.906 0.575
0.643 0.287 0.501
0.306 0.612 0.352
0.501 0.002 0.274
0.708 0.417 0.157
0.047 0.094 0.075